[1]
TcNi2Bi: optimized geometry, PBE.

```
4
Lattice="0.000 3.119 3.119 3.119 0.000 3.119 3.119 3.119 0.000" Properties=species:S:1:pos:R:3 pbc="T T T"
Tc 0.000 0.000 0.000
Ni 1.559 1.559 1.559
Ni 3.119 3.119 3.119
Bi 4.678 4.678 4.678
```

Magnetization   0.905 Bohr magnetons per cell
Calculated total energy   -0.43820 Ry/atom
Calculated volume   60.7 Å³/f.u.
Space-group type   F-43m


[2]
TcNiBi: optimized geometry, PBE.

```
3
Lattice="0.000 3.074 3.074 3.074 0.000 3.074 3.074 3.074 0.000" Properties=species:S:1:pos:R:3 pbc="T T T"
Tc 0.000 0.000 0.000
Ni 4.610 4.610 4.610
Bi 3.074 3.074 3.074
```

Magnetization   3.418 Bohr magnetons per cell
Calculated total energy   -0.44774 Ry/atom
Calculated volume   58.1 Å³/f.u.
Space-group type   F-43m
Relative energy among the computed polymorphs   0 meV per atom


[3]
ZnTcNiBi: optimized geometry, PBE.

```
4
Lattice="0.000 3.188 3.188 3.188 0.000 3.188 3.188 3.188 0.000" Properties=species:S:1:pos:R:3 pbc="T T T"
Zn 0.000 0.000 0.000
Tc 1.594 1.594 1.594
Ni 4.783 4.783 4.783
Bi 3.188 3.188 3.188
```

Magnetization   0.101 Bohr magnetons per cell
Calculated total energy   -0.36397 Ry/atom
Calculated volume   64.8 Å³/f.u.
Space-group type   F-43m


[4]
ZrTcNiBi: optimized geometry, PBE.

```
4
Lattice="0.000 3.283 3.283 3.283 0.000 3.283 3.283 3.283 0.000" Properties=species:S:1:pos:R:3 pbc="T T T"
Zr 0.000 0.000 0.000
Tc 1.642 1.642 1.642
Ni 4.925 4.925 4.925
Bi 3.283 3.283 3.283
```

Magnetization   0.090 Bohr magnetons per cell
Calculated total energy   -0.52029 Ry/atom
Calculated volume   70.8 Å³/f.u.
Space-group type   F-43m